Record 1
! PBE-GGA YErSnIr, optimized geometry; values from VASP
! - Crystal system: cubic
! - Total magnetization: 0.000 μB/cell
! - Space group: No. 216
! - Electronic total energy: -6.593 eV per atom
! - DFT formation energy: -0.6206 eV/atom
&SYSTEM
  ibrav = 0, nat = 4, ntyp = 4
/
ATOMIC_SPECIES
Y 88.91 Y.upf
Er 167.26 Er.upf
Sn 118.71 Sn.upf
Ir 192.22 Ir.upf
CELL_PARAMETERS angstrom
0.000 3.584 3.584
3.584 0.000 3.584
3.584 3.584 0.000
ATOMIC_POSITIONS angstrom
Y 0.000 0.000 0.000
Er 3.584 3.584 3.584
Sn 5.376 5.376 5.376
Ir 1.792 1.792 1.792

Record 2
! PBE-GGA BiAuS2Cl, optimized geometry; values from VASP
! - Energy above the lowest structure with this stoichiometry: 0 meV per atom
! - Crystal system: tetragonal
! - Total magnetization: 0.000 μB/cell
! - Space group: No. 123
! - Energy relative to the elements, uncorrected: 245 meV per atom
! - Electronic total energy: -3.207 eV per atom
&SYSTEM
  ibrav = 0, nat = 5, ntyp = 4
/
ATOMIC_SPECIES
Bi 208.98 Bi.upf
Au 196.97 Au.upf
S 32.06 S.upf
Cl 35.45 Cl.upf
CELL_PARAMETERS angstrom
4.944 0.000 0.000
0.000 4.944 0.000
0.000 0.000 4.778
ATOMIC_POSITIONS angstrom
Bi 0.000 0.000 0.000
Au 2.472 2.472 2.389
S 0.000 2.472 2.389
S 2.472 0.000 2.389
Cl 2.472 2.472 0.000

Record 3
! PBE-GGA K2ThSbS5, optimized geometry; values from VASP
! - Crystal system: orthorhombic
! - Total magnetization: 0.000 μB/cell
! - Space group: No. 36
! - Energy relative to the elements, uncorrected: -1131 meV per atom
! - Electronic total energy: -4.950 eV per atom
&SYSTEM
  ibrav = 0, nat = 18, ntyp = 4
/
ATOMIC_SPECIES
K 39.10 K.upf
Th 232.04 Th.upf
Sb 121.76 Sb.upf
S 32.06 S.upf
CELL_PARAMETERS angstrom
2.172 -8.661 0.000
2.172 8.661 0.000
0.000 0.000 14.067
ATOMIC_POSITIONS angstrom
K 2.172 6.774 7.033
K 2.172 6.119 1.547
K 2.172 -6.119 8.581
K 2.172 -6.774 0.000
Th 2.172 4.942 11.576
Th 2.172 -4.942 4.542
Sb 2.172 0.243 3.576
Sb 2.172 -0.243 10.609
S 2.172 7.874 11.812
S 2.172 3.662 6.284
S 2.172 3.139 2.825
S 2.172 2.235 11.309
S 2.172 0.185 8.296
S 2.172 -0.185 1.263
S 2.172 -2.235 4.276
S 2.172 -3.139 9.858
S 2.172 -3.662 13.318
S 2.172 -7.874 4.779

Record 4
! PBE-GGA K2CuRu, optimized geometry; values from VASP
! - Energy above the lowest structure with this stoichiometry: 0 meV per atom
! - Crystal system: monoclinic
! - Total magnetization: 1.120 μB/cell
! - Space group: No. 6
! - Electronic total energy: -3.195 eV per atom
! - DFT formation energy: 0.6969 eV/atom
&SYSTEM
  ibrav = 0, nat = 4, ntyp = 3
/
ATOMIC_SPECIES
K 39.10 K.upf
Cu 63.55 Cu.upf
Ru 101.07 Ru.upf
CELL_PARAMETERS angstrom
3.076 0.000 0.000
0.000 3.792 0.000
-1.049 0.000 10.008
ATOMIC_POSITIONS angstrom
K 0.000 0.000 0.000
K 0.474 1.896 4.378
Cu 0.468 1.896 7.567
Ru 2.007 0.000 6.885